1.
Density functional theory data (GGA-PBE) for a geometry-optimized Ca2P3 structure.

Computed properties:
offset from the most stable computed form	0.0	meV/atom
energy of formation from the pure elements	-0.68	eV per atom
crystal system	orthorhombic
M_tot	0.00	μB per atom

a = 8.7197 Å, b = 7.7179 Å, c = 5.8528 Å
α = 78.64°, β = 60.20°, γ = 41.15°
Last column: nearest neighbours and their distance in Å.
Sites, in units of the cell vectors:
Ca: 0.7307 0.8610 0.4062  6 P 2.89-3.06
Ca: 0.0022 0.4062 0.8610  6 P 2.89-3.06
Ca: 0.8438 0.2478 0.5193  6 P 2.89-3.06
P: 0.3791 0.3370 0.8720  1 P 2.23
P: 0.4119 0.8720 0.3370  1 P 2.23
P: 0.2262 0.2738 0.2738  2 P 2.23
Ca: 0.3890 0.5193 0.2478  6 P 2.89-3.06
P: 0.9130 0.8709 0.8381  1 P 2.23
P: 0.9762 0.0238 0.0238  2 P 2.23
P: 0.3780 0.8381 0.8709  1 P 2.23

---

2.
Density functional theory data (GGA-PBE) for a geometry-optimized Ca7P structure.

Computed properties:
energy of formation from the pure elements	-0.02	eV per atom
crystal system	cubic
M_tot	0.00	μB per atom

a = 7.3739 Å, b = 7.3739 Å, c = 7.3739 Å
α = 60.00°, β = 60.00°, γ = 60.00°
Last column: nearest neighbours and their distance in Å.
Sites, in units of the cell vectors:
P: 0.0000 0.0000 0.0000  12 Ca 3.69
Ca: 0.5000 0.5000 0.0000  10 Ca 3.69, 2 P 3.69
Ca: 0.5000 0.5000 0.5000  12 Ca 3.69
Ca: 0.5000 0.0000 0.5000  10 Ca 3.69, 2 P 3.69
Ca: 0.0000 0.0000 0.5000  10 Ca 3.69, 2 P 3.69
Ca: 0.0000 0.5000 0.5000  10 Ca 3.69, 2 P 3.69
Ca: 0.0000 0.5000 0.0000  10 Ca 3.69, 2 P 3.69
Ca: 0.5000 0.0000 0.0000  10 Ca 3.69, 2 P 3.69

---

3.
Density functional theory data (GGA-PBE) for a geometry-optimized Ca3P structure.

Computed properties:
offset from the most stable computed form	44.6	meV/atom
energy of formation from the pure elements	-0.59	eV per atom
crystal system	orthorhombic
M_tot	0.00	μB per atom

a = 4.1271 Å, b = 6.9183 Å, c = 6.9200 Å
α = 49.02°, β = 90.00°, γ = 90.00°
Last column: nearest neighbours and their distance in Å.
Sites, in units of the cell vectors:
P: 0.5000 0.2500 0.2500  6 Ca 2.80-2.87
Ca: 0.0000 0.4003 0.4006  2 P 2.80
Ca: 0.5000 0.7500 0.7500  2 P 2.87
Ca: 0.0000 0.0997 0.0994  2 P 2.80

---

4.
Density functional theory data (GGA-PBE) for a geometry-optimized Ca2P structure.

Computed properties:
energy of formation from the pure elements	-0.90	eV per atom
crystal system	cubic
M_tot	0.00	μB per atom

a = 4.8272 Å, b = 4.8272 Å, c = 4.8272 Å
α = 60.00°, β = 60.00°, γ = 60.00°
Last column: nearest neighbours and their distance in Å.
Sites, in units of the cell vectors:
Ca: 0.7500 0.7500 0.7500  4 P 2.96
P: 0.0000 0.0000 0.0000  8 Ca 2.96
Ca: 0.2500 0.2500 0.2500  4 P 2.96

---

5.
Density functional theory data (GGA-PBE) for a geometry-optimized CaP4 structure.

Computed properties:
offset from the most stable computed form	0.0	meV/atom
energy of formation from the pure elements	-0.49	eV per atom
crystal system	monoclinic
M_tot	0.00	μB per atom

a = 5.2594 Å, b = 5.7362 Å, c = 7.8434 Å
α = 97.94°, β = 90.00°, γ = 90.00°
Last column: nearest neighbours and their distance in Å.
Sites, in units of the cell vectors:
P: 0.5956 0.4038 0.1021  3 P 2.18-2.30
P: 0.7081 0.7132 0.7407  2 P 2.18-2.21
P: 0.4044 0.5962 0.8979  3 P 2.18-2.30
P: 0.2081 0.2868 0.7593  2 P 2.18-2.21
Ca: 0.5000 0.0000 0.5000  6 P 2.88-3.17
P: 0.9044 0.4038 0.6021  3 P 2.18-2.30
Ca: 0.0000 0.0000 0.0000  6 P 2.88-3.17
P: 0.2919 0.2868 0.2593  2 P 2.18-2.21
P: 0.7919 0.7132 0.2407  2 P 2.18-2.21
P: 0.0956 0.5962 0.3979  3 P 2.18-2.30

---

6.
Density functional theory data (GGA-PBE) for a geometry-optimized Ca3P structure.

Computed properties:
offset from the most stable computed form	72.2	meV/atom
energy of formation from the pure elements	-0.56	eV per atom
crystal system	orthorhombic
M_tot	0.00	μB per atom

a = 3.6947 Å, b = 4.8376 Å, c = 7.6165 Å
α = 108.52°, β = 104.04°, γ = 90.00°
Last column: nearest neighbours and their distance in Å.
Sites, in units of the cell vectors:
Ca: 0.5000 0.4167 0.0000  4 P 3.04, 4 Ca 3.34
P: 0.0000 0.9167 0.0000  8 Ca 2.95-3.04
Ca: 0.3352 0.7518 0.6703  2 P 2.95
Ca: 0.6648 0.0815 0.3297  2 P 2.95